Model w:
Crystalline LaNd2Cd at its relaxed geometry, computed with PBE-GGA.

a = 7.9146 Å, b = 7.9146 Å, c = 7.9146 Å
α = 90.00°, β = 90.00°, γ = 90.00°
Last column: nearest neighbours and their distance in Å.
Space group Fm-3m (No. 225)
Symmetry-distinct sites (fractional):
La: 0.0000 0.0000 0.0000 x4  8 Nd 3.43
Nd: 0.2500 0.2500 0.2500 x8  4 Cd 3.43, 4 La 3.43
Cd: 0.0000 0.0000 0.5000 x4  8 Nd 3.43

Results
**Total moment**: 1.2 μB/f.u.

Model x:
Crystalline LaNd2Cd at its relaxed geometry, computed with PBE-GGA.

a = 3.7059 Å, b = 3.7059 Å, c = 33.7647 Å
α = 90.00°, β = 90.00°, γ = 120.00°
Last column: nearest neighbours and their distance in Å.
Space group R3m (No. 160, hexagonal axes)
Symmetry-distinct sites (fractional):
La: 0.0000 0.0000 0.0000 x3  6 La 3.71, 6 Nd 3.73-3.76
Nd: 0.0000 0.0000 0.2417 x3  3 Cd 3.32, 6 Nd 3.71
Nd: 0.0000 0.0000 0.4240 x3  3 Cd 3.33, 6 Nd 3.71
Cd: 0.0000 0.0000 0.8330 x3  6 Nd 3.32-3.33, 6 Cd 3.71

Results
**Total moment**: 0.0 μB/f.u.

Model y:
Crystalline LaNd2Cd at its relaxed geometry, computed with PBE-GGA.

a = 5.0101 Å, b = 5.0101 Å, c = 5.0350 Å
α = 90.00°, β = 90.00°, γ = 90.00°
Last column: nearest neighbours and their distance in Å.
Space group P4/mmm (No. 123)
Symmetry-distinct sites (fractional):
La: 0.0000 0.0000 0.0000 x1  4 Cd 3.54, 8 Nd 3.55
Nd: 0.0000 0.5000 0.5000 x2  4 Nd 3.54, 4 Cd 3.55, 4 La 3.55
Cd: 0.5000 0.5000 0.0000 x1  4 La 3.54, 8 Nd 3.55

Results
**Total moment**: 0.0 μB/f.u.

The data favor model y; the next most stable structure lies 0.065 eV/atom above it.

Model w:
Crystalline La5NdCd2 at its relaxed geometry, computed with PBE-GGA.

a = 7.1389 Å, b = 14.2687 Å, c = 5.0714 Å
α = 90.00°, β = 90.00°, γ = 90.00°
Last column: nearest neighbours and their distance in Å.
Space group Pbam (No. 55)
Symmetry-distinct sites (fractional):
La: 0.0000 0.0000 0.0000 x2  6 La 3.55-3.59, 2 Nd 3.57, 4 Cd 3.58
La: 0.0059 0.2488 0.0000 x4  7 La 3.55-3.62, 4 Cd 3.56-3.61, 1 Nd 3.59
La: 0.2432 0.3763 0.5000 x4  4 Cd 3.51-3.63, 2 Nd 3.54, 6 La 3.55-3.62
Nd: 0.0000 0.5000 0.0000 x2  8 La 3.54-3.59, 4 Cd 3.56
Cd: 0.2479 0.6240 0.5000 x4  10 La 3.51-3.63, 2 Nd 3.56

Results
**Total moment**: 0.0 μB/f.u.

Model x:
Crystalline La5NdCd2 at its relaxed geometry, computed with PBE-GGA.

a = 5.4128 Å, b = 12.1716 Å, c = 16.3672 Å
α = 90.00°, β = 90.00°, γ = 90.00°
Last column: nearest neighbours and their distance in Å.
Space group Cmcm (No. 63)
Symmetry-distinct sites (fractional):
La: 0.0000 0.0371 0.1067 x8  1 Cd 3.28, 3 La 3.58-3.61
La: 0.0000 0.3569 0.0256 x8  3 Cd 3.22-3.50, 1 La 3.58
La: 0.0000 0.4619 0.7500 x4  1 Nd 3.22, 2 Cd 3.33, 4 La 3.58
Nd: 0.0000 0.2737 0.2500 x4  4 Cd 3.20, 1 La 3.22
Cd: 0.0000 0.2269 0.6458 x8  2 Nd 3.20, 5 La 3.22-3.50, 1 Cd 3.41

Results
**Total moment**: 0.0 μB/f.u.

The data favor model w; the next most stable structure lies 0.041 eV/atom above it.

Model w:
Crystalline La6NdCd2 at its relaxed geometry, computed with PBE-GGA.

a = 13.2026 Å, b = 3.9274 Å, c = 12.4265 Å
α = 90.00°, β = 108.22°, γ = 90.00°
Last column: nearest neighbours and their distance in Å.
Space group C2/m (No. 12)
Symmetry-distinct sites (fractional):
La: 0.0216 0.0000 0.3372 x4  2 Cd 3.35, 5 La 3.64-3.74
La: 0.1805 0.5000 0.8766 x4  2 Cd 3.37, 5 La 3.60-3.69, 2 Nd 3.76
La: 0.1888 0.5000 0.5896 x4  2 Cd 3.45, 8 La 3.60-3.77
Nd: 0.0000 0.0000 0.0000 x2  4 Cd 3.28
Cd: 0.1463 0.5000 0.1996 x4  2 Nd 3.28, 6 La 3.35-3.45

Results
**Total moment**: 0.0 μB/f.u.

Model x:
Crystalline La6NdCd2 at its relaxed geometry, computed with PBE-GGA.

a = 7.4416 Å, b = 7.4416 Å, c = 19.3569 Å
α = 90.00°, β = 90.00°, γ = 120.00°
Last column: nearest neighbours and their distance in Å.
Space group R3 (No. 146, hexagonal axes)
Symmetry-distinct sites (fractional):
La: 0.1601 0.3366 0.0000 x9  1 Nd 3.06
La: 0.1857 0.8071 0.1971 x9  1 Nd 2.95, 2 La 3.22
Nd: 0.0000 0.0000 0.1115 x3  6 La 2.95-3.06
Cd: 0.0000 0.0000 0.6863 x3  1 Cd 3.29, 6 La 3.54-3.68
Cd: 0.0000 0.0000 0.8563 x3  1 Cd 3.29, 3 La 3.53

Results
**Total moment**: 0.0 μB/f.u.

The data favor model w; the next most stable structure lies 0.392 eV/atom above it.

Model w:
Crystalline La3Nd6Cd at its relaxed geometry, computed with PBE-GGA.

a = 6.2357 Å, b = 9.4592 Å, c = 13.1218 Å
α = 90.00°, β = 115.85°, γ = 90.00°
Last column: nearest neighbours and their distance in Å.
Space group P2_1/c (No. 14)
Symmetry-distinct sites (fractional):
La: 0.0000 0.0000 0.0000 x2  4 Nd 3.12-3.46
La: 0.3618 0.1810 0.7612 x4  4 Nd 3.22-3.60
Nd: 0.0789 0.6456 0.0740 x4  2 Nd 3.27-3.50, 2 Cd 3.46-3.58, 2 La 3.46-3.60
Nd: 0.1245 0.5418 0.7556 x4  1 Cd 3.06, 2 La 3.12-3.22
Nd: 0.4296 0.6644 0.4174 x4  1 Cd 3.32, 3 La 3.46-3.65, 2 Nd 3.51-3.67
Cd: 0.5000 0.0000 0.5000 x2  4 Nd 3.06-3.32

Results
**Total moment**: 0.0 μB/f.u.

Model x:
Crystalline La3Nd6Cd at its relaxed geometry, computed with PBE-GGA.

a = 11.0709 Å, b = 5.3080 Å, c = 11.7218 Å
α = 90.00°, β = 94.27°, γ = 90.00°
Last column: nearest neighbours and their distance in Å.
Space group P2_1/m (No. 11)
Symmetry-distinct sites (fractional):
La: 0.0535 0.2500 0.4066 x2  8 Nd 3.61-3.86, 4 La 3.69-3.74
La: 0.1587 0.7500 0.2117 x2  8 Nd 3.58-3.75, 4 La 3.71-3.74
La: 0.2561 0.2500 0.0168 x2  10 Nd 3.58-3.72, 2 La 3.71
Nd: 0.0493 0.7500 0.9011 x2  5 Nd 3.44-3.77, 7 La 3.58-3.75
Nd: 0.1600 0.2500 0.7056 x2  1 Cd 3.40, 6 Nd 3.57-3.79, 5 La 3.61-3.73
Nd: 0.2782 0.7500 0.5123 x2  3 Cd 3.36-3.50, 1 La 3.67, 3 Nd 3.67-3.68
Nd: 0.3438 0.7500 0.8248 x2  8 Nd 3.44-3.68, 2 La 3.66
Nd: 0.3732 0.2500 0.3217 x2  3 Cd 3.40-3.41, 5 Nd 3.67-3.73, 4 La 3.71-3.75
Nd: 0.4596 0.7500 0.1192 x2  1 Cd 3.29, 3 Nd 3.46-3.59, 4 La 3.58-3.63
Cd: 0.4419 0.2500 0.6090 x2  8 Nd 3.29-3.50

Results
**Total moment**: 0.0 μB/f.u.

The data favor model x; the next most stable structure lies 0.119 eV/atom above it.

Model w:
Crystalline La2Nd3Cd3 at its relaxed geometry, computed with PBE-GGA.

a = 3.9079 Å, b = 5.5432 Å, c = 22.9089 Å
α = 90.00°, β = 90.00°, γ = 90.00°
Last column: nearest neighbours and their distance in Å.
Space group Immm (No. 71)
Symmetry-distinct sites (fractional):
La: 0.0000 0.0000 0.2334 x4  2 Cd 3.34, 4 La 3.48
Nd: 0.0000 0.0000 0.0000 x2  8 Cd 3.29-3.39
Nd: 0.0000 0.5000 0.1201 x4  6 Cd 3.37-3.39
Cd: 0.0000 0.0000 0.5000 x2  8 Nd 3.37-3.39
Cd: 0.0000 0.5000 0.3847 x4  6 Nd 3.29-3.39, 2 La 3.34

Results
**Total moment**: 0.0 μB/f.u.

Model x:
Crystalline La2Nd3Cd3 at its relaxed geometry, computed with PBE-GGA.

a = 5.0556 Å, b = 5.0779 Å, c = 9.5226 Å
α = 90.00°, β = 90.00°, γ = 90.00°
Last column: nearest neighbours and their distance in Å.
Space group Pmmm (No. 47)
Symmetry-distinct sites (fractional):
La: 0.0000 0.0000 0.2388 x2  6 Cd 3.40-3.55, 6 Nd 3.55-3.58
Nd: 0.5000 0.0000 0.5000 x1  4 La 3.55, 4 Cd 3.58, 4 Nd 3.60
Nd: 0.5000 0.5000 0.2314 x2  6 Cd 3.35-3.60, 4 La 3.58, 2 Nd 3.60
Cd: 0.0000 0.5000 0.0000 x1  4 Nd 3.35, 4 La 3.41, 4 Cd 3.58
Cd: 0.0000 0.5000 0.5000 x1  4 La 3.55, 8 Nd 3.58-3.60
Cd: 0.5000 0.0000 0.0000 x1  4 Nd 3.36, 4 La 3.40, 4 Cd 3.58

Results
**Total moment**: 0.0 μB/f.u.

The data favor model w; the next most stable structure lies 0.038 eV/atom above it.

Model w:
Crystalline La4NdCd2 at its relaxed geometry, computed with PBE-GGA.

a = 5.6675 Å, b = 9.8100 Å, c = 16.9209 Å
α = 90.00°, β = 90.00°, γ = 90.00°
Last column: nearest neighbours and their distance in Å.
Space group Cmcm (No. 63)
Symmetry-distinct sites (fractional):
La: 0.0000 0.0000 0.0000 x4  6 Cd 3.41
La: 0.0000 0.3328 0.1414 x8  4 Cd 3.37-3.57, 4 La 3.67-3.75, 3 Nd 3.75
La: 0.0000 0.3340 0.7500 x4  2 Cd 3.26, 3 Nd 3.27
Nd: 0.0000 0.0006 0.7500 x4  3 La 3.27
Cd: 0.0000 0.3335 0.5576 x8  8 La 3.26-3.57

Results
**Total moment**: 0.0 μB/f.u.

Model x:
Crystalline La4NdCd2 at its relaxed geometry, computed with PBE-GGA.

a = 6.0787 Å, b = 6.0787 Å, c = 12.9498 Å
α = 90.00°, β = 90.00°, γ = 90.00°
Last column: nearest neighbours and their distance in Å.
Space group I4/mmm (No. 139)
Symmetry-distinct sites (fractional):
La: 0.0000 0.5000 0.0000 x4  2 Nd 3.04, 2 La 3.24
La: 0.0000 0.5000 0.2500 x4  2 La 3.24, 4 Cd 3.43
Nd: 0.0000 0.0000 0.0000 x2  4 La 3.04
Cd: 0.0000 0.0000 0.3725 x4  1 Cd 3.30, 8 La 3.43-3.46

Results
**Total moment**: 0.0 μB/f.u.

The data favor model w; the next most stable structure lies 0.288 eV/atom above it.